The following is a PBE calculation of crystalline HoZrZnGa at its relaxed geometry, from Alexandria.

Cell and atoms, written as POSCAR:
```
HoZrZnGa
1.0
4.865 0.000 0.000
2.433 4.213 0.000
2.433 1.404 3.973
Zn Ga Ho Zr
1 1 1 1
Direct
0.750 0.750 0.750 Zn
0.250 0.250 0.250 Ga
0.000 0.000 0.000 Ho
0.500 0.500 0.500 Zr
```

Results
The energy relative to the elements is -0.395 eV per atom.

The following is a PBE calculation of crystalline Ce2PmAlSi2 at its relaxed geometry, from Alexandria.

Cell and atoms, written as POSCAR:
```
Ce2PmAlSi2
1.0
-2.713 -0.066 -3.385
3.354 -0.646 -2.676
-1.236 -8.130 3.930
Ce Pm Al Si
2 1 1 2
Direct
0.250 0.750 0.500 Ce
0.750 0.250 0.500 Ce
0.500 0.500 0.000 Pm
0.000 0.000 0.000 Al
0.866 0.866 0.732 Si
0.134 0.134 0.268 Si
```

Results
For the raw formation energy, the calculation gives 0.069 eV/atom.

The following is a PBE calculation of crystalline Cs3U2PbO9 at its relaxed geometry, from Alexandria.

Cell and atoms, written as POSCAR:
```
Cs3U2PbO9
1.0
-0.800 -4.463 -4.415
-0.680 -1.448 6.123
-7.576 1.775 -0.421
Cs U Pb O
3 2 1 9
Direct
0.333 0.667 0.657 Cs
0.000 0.000 0.000 Cs
0.667 0.333 0.343 Cs
0.333 0.667 0.159 U
0.667 0.333 0.841 U
0.000 0.000 0.500 Pb
0.817 0.183 0.690 O
0.817 0.635 0.690 O
0.365 0.183 0.690 O
0.635 0.817 0.310 O
0.183 0.365 0.310 O
0.183 0.817 0.310 O
0.500 0.000 0.000 O
0.000 0.500 0.000 O
0.500 0.500 0.000 O
```

Results
For the raw formation energy, the calculation gives -2.359 eV/atom.

The following is a PBE calculation of crystalline Y4TmMgS8 at its relaxed geometry, from Alexandria.

Cell and atoms, written as POSCAR:
```
Y4TmMgS8
1.0
-0.130 7.957 -0.394
-1.157 3.624 -7.001
-6.842 3.806 -1.433
Y Tm Mg S
4 1 1 8
Direct
0.625 0.625 0.126 Y
0.003 0.492 0.503 Y
0.492 0.003 0.503 Y
0.003 0.003 0.503 Y
0.003 0.003 0.991 Tm
0.375 0.375 0.876 Mg
0.244 0.762 0.750 S
0.762 0.244 0.750 S
0.244 0.244 0.750 S
0.246 0.246 0.261 S
0.761 0.223 0.254 S
0.223 0.761 0.254 S
0.761 0.761 0.254 S
0.758 0.758 0.725 S
```

Results
For the raw formation energy, the calculation gives -1.923 eV/atom.

The following is a PBE calculation of crystalline LaNiAu at its relaxed geometry, from Alexandria.

Cell and atoms, written as POSCAR:
```
LaNiAu
1.0
5.432 -0.055 0.062
4.235 3.402 0.056
1.197 0.420 3.431
Au La Ni
1 1 1
Direct
0.018 0.018 0.982 Au
0.328 0.328 0.672 La
0.654 0.654 0.346 Ni
```

Results
The energy relative to the elements is -0.364 eV per atom.

The following is a PBE calculation of crystalline Sm2YTm2 at its relaxed geometry, from Alexandria.

Cell and atoms, written as POSCAR:
```
Sm2YTm2
1.0
5.609 0.000 0.000
0.000 7.030 0.000
0.000 0.000 16.259
Sm Y Tm
8 4 8
Direct
0.750 0.374 0.751 Sm
0.250 0.126 0.251 Sm
0.250 0.626 0.249 Sm
0.750 0.874 0.749 Sm
0.750 0.878 0.149 Sm
0.250 0.622 0.649 Sm
0.250 0.122 0.851 Sm
0.750 0.378 0.351 Sm
0.750 0.126 0.538 Y
0.250 0.374 0.038 Y
0.250 0.874 0.462 Y
0.750 0.626 0.962 Y
0.750 0.625 0.537 Tm
0.250 0.875 0.037 Tm
0.250 0.375 0.463 Tm
0.750 0.125 0.963 Tm
0.750 0.876 0.347 Tm
0.250 0.624 0.847 Tm
0.250 0.124 0.653 Tm
0.750 0.376 0.153 Tm
```

Results
The energy above the lowest structure with this stoichiometry is 0.0209 eV/atom. The energy relative to the elements is 0.043 eV per atom.

The following is a PBE calculation of crystalline AlPdIN2 at its relaxed geometry, from Alexandria.

Cell and atoms, written as POSCAR:
```
AlPdIN2
1.0
-1.422 -3.467 -0.158
0.253 0.066 -3.742
6.511 -2.689 0.393
I Al Pd N
1 1 1 2
Direct
0.000 0.000 0.500 I
0.000 0.000 0.000 Al
0.500 0.500 0.500 Pd
0.000 0.500 0.000 N
0.500 0.000 0.000 N
```

Results
The energy above the lowest structure with this stoichiometry is 0.0000 eV/atom. For the raw formation energy, the calculation gives 0.801 eV/atom.

The following is a PBE calculation of crystalline HoTm6Sc3 at its relaxed geometry, from Alexandria.

Cell and atoms, written as POSCAR:
```
HoTm6Sc3
1.0
3.459 -0.375 0.324
-1.671 16.517 -0.721
1.164 3.270 10.132
Ho Tm Sc
2 12 6
Direct
0.123 0.340 0.932 Ho
0.877 0.660 0.068 Ho
0.378 0.362 0.467 Tm
0.622 0.638 0.533 Tm
0.125 0.942 0.133 Tm
0.875 0.058 0.867 Tm
0.376 0.959 0.666 Tm
0.624 0.041 0.334 Tm
0.375 0.759 0.269 Tm
0.625 0.241 0.731 Tm
0.376 0.558 0.864 Tm
0.624 0.442 0.136 Tm
0.870 0.255 0.270 Tm
0.130 0.745 0.730 Tm
0.124 0.141 0.534 Sc
0.876 0.859 0.466 Sc
0.124 0.542 0.337 Sc
0.876 0.458 0.663 Sc
0.627 0.843 0.933 Sc
0.373 0.157 0.067 Sc
```

Results
The energy above the lowest structure with this stoichiometry is 0.0000 eV/atom. The energy relative to the elements is 0.013 eV per atom.

The following is a PBE calculation of crystalline Al2FeC at its relaxed geometry, from Alexandria.

Cell and atoms, written as POSCAR:
```
Al2FeC
1.0
-5.138 -4.312 3.216
5.143 -5.241 1.189
0.399 -4.011 3.861
C Fe Al
2 2 4
Direct
0.500 0.500 0.000 C
0.250 0.750 0.500 C
0.000 0.000 0.000 Fe
0.750 0.250 0.500 Fe
0.490 0.125 0.250 Al
0.260 0.625 0.250 Al
0.375 0.510 0.750 Al
0.875 0.740 0.750 Al
```

Results
The energy relative to the elements is 0.316 eV per atom.

The following is a PBE calculation of crystalline FeMo at its relaxed geometry, from Alexandria.

Cell and atoms, written as POSCAR:
```
FeMo
1.0
-3.567 0.408 3.406
1.832 -3.926 2.390
2.708 2.786 2.502
Fe Mo
4 4
Direct
0.181 0.819 0.000 Fe
0.681 0.681 0.500 Fe
0.319 0.319 0.500 Fe
0.819 0.181 0.000 Fe
0.304 0.304 0.000 Mo
0.804 0.196 0.500 Mo
0.196 0.804 0.500 Mo
0.696 0.696 0.000 Mo
```

Results
The energy relative to the elements is 0.747 eV per atom.

The following is a PBE calculation of crystalline ReAg2Os at its relaxed geometry, from Alexandria.

Cell and atoms, written as POSCAR:
```
ReAg2Os
1.0
-2.706 0.632 0.429
0.363 -1.413 4.367
1.297 4.617 1.385
Re Os Ag
1 1 2
Direct
0.000 0.500 0.500 Re
0.500 0.000 0.500 Os
0.000 0.000 0.000 Ag
0.500 0.500 0.000 Ag
```

Results
The energy above the lowest structure with this stoichiometry is 0.4572 eV/atom. The energy relative to the elements is 0.737 eV per atom.

The following is a PBE calculation of crystalline KInS2Cl at its relaxed geometry, from Alexandria.

Cell and atoms, written as POSCAR:
```
KInS2Cl
1.0
-4.852 3.326 1.088
-2.791 -2.555 -4.633
-2.041 -4.124 3.504
K Cl S In
1 1 2 1
Direct
0.000 0.000 0.000 K
0.000 0.000 0.500 Cl
0.000 0.500 0.000 S
0.500 0.000 0.000 S
0.500 0.500 0.500 In
```

Results
The energy above the lowest structure with this stoichiometry is 0.9304 eV/atom. For the raw formation energy, the calculation gives 0.286 eV/atom.

The records above give, respectively, DOS(E_F) values of 1.55 9.97 5.94 3.67 2.49 35.36 4.07 36.14 5.38 9.41 4.08 5.21 states/eV/cell.
The records above give, respectively, total magnetization values of 0.000 0.000 0.000 0.000 0.000 0.000 1.221 0.000 1.330 0.000 0.000 3.000 μB/f.u..
The records above give, respectively, volume values of 20.359 26.926 18.021 25.511 21.306 32.057 19.851 28.651 12.929 14.144 16.156 41.395 A^3/atom.